YTeBr2, single point on PBEsol structure, DFT SCAN; E_form (uncorrected) = -1172.4 meV per atom; E_tot = -27.176 eV/atom
1.0
3.405 0.000 0.000
0.000 3.405 0.000
0.000 0.000 9.320
Y Br Te
1 2 1
Direct
0.500 0.500 0.500 Y
0.000 0.000 0.678 Br
0.000 0.000 0.322 Br
0.500 0.500 0.000 Te


ZnTeBr, single point on PBEsol structure, DFT SCAN; E_form (uncorrected) = 144.8 meV per atom; E_tot = -23.264 eV/atom
1.0
4.782 0.000 0.000
2.391 4.142 0.000
2.391 1.381 3.905
Te Br Zn
1 1 1
Direct
0.500 0.500 0.500 Te
0.000 0.000 0.000 Br
0.750 0.750 0.750 Zn


ZnTe2Br, single point on PBEsol structure, DFT SCAN; E_form (uncorrected) = 14.0 meV per atom; E_tot = -26.855 eV/atom
1.0
3.650 0.000 0.000
0.000 4.927 0.000
-1.825 -2.463 5.432
Zn Te Br
1 2 1
Direct
0.500 0.000 0.000 Zn
0.799 0.799 0.598 Te
0.201 0.201 0.402 Te
0.000 0.500 0.000 Br


ZnTeBr2, single point on PBEsol structure, DFT SCAN; E_form (uncorrected) = -283.3 meV per atom; E_tot = -22.705 eV/atom
1.0
-2.363 -2.871 0.473
4.118 -2.981 2.480
-1.194 4.067 3.861
Zn Te Br
1 1 2
Direct
0.747 0.204 0.494 Zn
0.409 0.439 0.818 Te
0.073 0.099 0.147 Br
0.271 0.757 0.542 Br


ZnTe2Br, single point on PBEsol structure, DFT SCAN; E_form (uncorrected) = 200.4 meV per atom; E_tot = -26.669 eV/atom
1.0
-2.663 -1.960 -0.275
-0.095 -2.905 1.600
-5.344 3.199 8.929
Te Zn Br
2 1 1
Direct
0.921 0.921 0.238 Te
0.079 0.079 0.762 Te
0.000 0.000 0.000 Zn
0.500 0.500 0.500 Br


ZnTeBr, single point on PBEsol structure, DFT SCAN; E_form (uncorrected) = -385.7 meV per atom; E_tot = -23.794 eV/atom
1.0
3.579 0.000 0.000
-1.790 3.100 0.000
0.000 0.000 6.990
Br Zn Te
1 1 1
Direct
0.000 0.000 0.097 Br
0.333 0.667 0.317 Zn
0.667 0.333 0.586 Te


ZnTeBr2, single point on PBEsol structure, DFT SCAN; E_form (uncorrected) = -349.0 meV per atom; E_tot = -22.770 eV/atom
1.0
3.575 0.000 0.000
0.000 5.559 0.000
-1.788 -2.780 6.616
Zn Te Br
1 1 2
Direct
0.285 0.785 0.569 Zn
0.631 0.631 0.262 Te
0.913 0.913 0.825 Br
0.671 0.171 0.343 Br


ZnTe2Br, single point on PBEsol structure, DFT SCAN; E_form (uncorrected) = 86.1 meV per atom; E_tot = -26.783 eV/atom
1.0
-1.094 1.468 5.042
3.256 -3.851 1.828
5.703 6.845 -3.609
Te Br Zn
4 2 2
Direct
0.758 0.375 0.250 Te
0.125 0.242 0.750 Te
0.492 0.875 0.250 Te
0.625 0.508 0.750 Te
0.250 0.750 0.500 Br
0.000 0.000 0.000 Br
0.500 0.500 0.000 Zn
0.750 0.250 0.500 Zn


ZnTe2Br, single point on PBEsol structure, DFT SCAN; E_form (uncorrected) = 0.0 meV per atom; E_tot = -26.869 eV/atom
1.0
-2.366 3.056 -1.266
0.165 -3.343 -1.847
-6.050 -2.804 4.537
Te Br Zn
2 1 1
Direct
0.000 0.000 0.296 Te
0.000 0.000 0.704 Te
0.500 0.000 0.000 Br
0.500 0.000 0.500 Zn


ZnTeBr2, single point on PBEsol structure, DFT SCAN; E_form (uncorrected) = 21.9 meV per atom; E_tot = -22.399 eV/atom
1.0
3.437 0.000 0.000
0.000 3.437 0.000
0.000 0.000 8.098
Zn Te Br
1 1 2
Direct
0.500 0.500 0.760 Zn
0.000 0.000 0.525 Te
0.000 0.000 0.931 Br
0.500 0.500 0.284 Br


ZrTeBr, single point on PBEsol structure, DFT SCAN; E_form (uncorrected) = -1113.1 meV per atom; E_tot = -30.249 eV/atom
1.0
-2.260 -1.861 -2.310
0.422 -1.149 3.523
-5.237 3.973 1.924
Br Te Zr
1 1 1
Direct
0.000 0.000 0.073 Br
0.667 0.333 0.599 Te
0.333 0.667 0.328 Zr


ZrTeBr, single point on PBEsol structure, DFT SCAN; E_form (uncorrected) = 144.6 meV per atom; E_tot = -28.992 eV/atom
1.0
4.795 0.000 0.000
2.397 4.153 0.000
2.397 1.384 3.915
Zr Te Br
1 1 1
Direct
0.500 0.500 0.500 Zr
0.000 0.000 0.000 Te
0.250 0.250 0.250 Br


Zr2TeBr, single point on PBEsol structure, DFT SCAN; E_form (uncorrected) = 153.8 meV per atom; E_tot = -29.373 eV/atom
1.0
5.019 0.000 0.000
2.510 4.347 0.000
2.510 1.449 4.098
Br Te Zr
1 1 2
Direct
0.500 0.500 0.500 Br
0.750 0.750 0.750 Te
0.000 0.000 0.000 Zr
0.250 0.250 0.250 Zr


Zr2TeBr, single point on PBEsol structure, DFT SCAN; E_form (uncorrected) = -202.5 meV per atom; E_tot = -29.729 eV/atom
1.0
-3.789 1.148 -0.076
-0.382 -1.504 -3.643
0.512 -4.870 4.108
Zr Br Te
2 1 1
Direct
0.000 0.000 0.000 Zr
0.750 0.250 0.500 Zr
0.500 0.500 0.000 Br
0.250 0.750 0.500 Te


ThBr4, single point on PBEsol structure, DFT SCAN; E_form (uncorrected) = -1882.6 meV per atom; E_tot = -36.634 eV/atom
1.0
-3.029 -4.644 3.870
4.928 0.610 4.590
-4.439 6.877 -1.128
Br Th
8 2
Direct
0.662 0.604 0.650 Br
0.262 0.704 0.850 Br
0.588 0.146 0.850 Br
0.396 0.012 0.350 Br
0.988 0.046 0.650 Br
0.954 0.338 0.350 Br
0.296 0.412 0.150 Br
0.854 0.738 0.150 Br
0.250 0.750 0.500 Th
0.000 0.000 0.000 Th


ThBr4, single point on PBEsol structure, DFT SCAN; E_form (uncorrected) = -1870.7 meV per atom; E_tot = -36.622 eV/atom
1.0
-7.110 -2.123 0.580
3.264 -1.466 -6.526
3.775 -3.812 5.158
Br Th
8 2
Direct
0.760 0.075 0.685 Br
0.325 0.140 0.815 Br
0.860 0.675 0.185 Br
0.925 0.610 0.685 Br
0.490 0.675 0.815 Br
0.925 0.240 0.315 Br
0.390 0.075 0.315 Br
0.325 0.510 0.185 Br
0.000 0.000 0.000 Th
0.250 0.750 0.500 Th


TlBr3, single point on PBEsol structure, DFT SCAN; E_form (uncorrected) = -88.2 meV per atom; E_tot = -32.772 eV/atom
1.0
-2.648 0.233 -2.603
1.930 -4.434 -2.361
-3.250 -3.031 3.035
Tl Br
1 3
Direct
0.000 0.000 0.000 Tl
0.500 0.500 0.000 Br
0.000 0.500 0.500 Br
0.500 0.000 0.500 Br


Tl2Br, single point on PBEsol structure, DFT SCAN; E_form (uncorrected) = -428.5 meV per atom; E_tot = -55.154 eV/atom
1.0
-4.225 1.560 0.818
-1.568 -2.363 -3.594
-0.856 -3.834 2.894
Tl Br
2 1
Direct
0.000 0.500 0.500 Tl
0.500 0.000 0.500 Tl
0.000 0.000 0.000 Br


TlW2Br, single point on PBEsol structure, DFT SCAN; E_form (uncorrected) = 1524.3 meV per atom; E_tot = -56.274 eV/atom
1.0
4.343 0.000 0.000
-2.171 4.428 -0.011
0.000 2.139 3.779
W Br Tl
2 1 1
Direct
0.000 0.000 0.000 W
0.250 0.500 0.250 W
0.500 0.000 0.500 Br
0.750 0.500 0.750 Tl


TlWBr3, single point on PBEsol structure, DFT SCAN; E_form (uncorrected) = 1107.1 meV per atom; E_tot = -38.978 eV/atom
1.0
-1.772 5.202 -0.475
-3.123 -0.653 4.500
4.188 1.714 3.155
Tl Br W
1 3 1
Direct
0.000 0.000 0.000 Tl
0.000 0.500 0.000 Br
0.000 0.000 0.500 Br
0.500 0.000 0.000 Br
0.500 0.500 0.500 W


Y2TlBr, single point on PBEsol structure, DFT SCAN; E_form (uncorrected) = -787.8 meV per atom; E_tot = -37.664 eV/atom
1.0
3.568 0.000 0.000
0.000 4.503 0.000
-1.784 -2.252 6.747
Tl Y Br
1 2 1
Direct
0.205 0.205 0.409 Tl
0.047 0.547 0.095 Y
0.787 0.787 0.574 Y
0.461 0.961 0.922 Br


Y2TlBr, single point on PBEsol structure, DFT SCAN; E_form (uncorrected) = -702.5 meV per atom; E_tot = -37.578 eV/atom
1.0
3.527 0.056 0.000
-1.533 3.176 0.000
0.000 0.000 9.448
Y Tl Br
2 1 1
Direct
0.000 0.000 0.256 Y
0.000 0.000 0.744 Y
0.500 0.500 0.000 Tl
0.500 0.500 0.500 Br


YTlBr2, single point on PBEsol structure, DFT SCAN; E_form (uncorrected) = -1116.7 meV per atom; E_tot = -35.897 eV/atom
1.0
-1.830 3.356 0.969
-3.532 -0.801 -3.895
-2.165 -4.320 2.851
Br Tl Y
2 1 1
Direct
0.195 0.000 0.391 Br
0.596 0.500 0.191 Br
0.905 0.000 0.811 Tl
0.307 0.500 0.613 Y


YTlBr2, single point on PBEsol structure, DFT SCAN; E_form (uncorrected) = -1183.7 meV per atom; E_tot = -35.964 eV/atom
1.0
3.692 0.000 0.000
-1.846 5.553 -0.081
0.000 -3.042 5.752
Br Tl Y
2 1 1
Direct
0.739 0.479 0.230 Br
0.935 0.871 0.855 Br
0.551 0.101 0.473 Tl
0.274 0.549 0.942 Y


YTlBr2, single point on PBEsol structure, DFT SCAN; E_form (uncorrected) = -924.6 meV per atom; E_tot = -35.705 eV/atom
1.0
-1.939 2.432 -2.088
-2.966 1.769 1.454
3.957 8.371 2.713
Tl Br Y
1 2 1
Direct
0.500 0.500 0.499 Tl
0.763 0.763 0.712 Br
0.984 0.984 0.047 Br
0.253 0.253 0.242 Y


YTlBr2, single point on PBEsol structure, DFT SCAN; E_form (uncorrected) = -896.4 meV per atom; E_tot = -35.676 eV/atom
1.0
3.729 0.058 0.000
-1.683 3.328 0.000
0.000 0.000 9.570
Y Tl Br
1 1 2
Direct
0.500 0.500 0.250 Y
0.000 0.000 0.499 Tl
0.500 0.500 0.705 Br
0.000 0.000 0.045 Br


YTl2Br, single point on PBEsol structure, DFT SCAN; E_form (uncorrected) = -512.5 meV per atom; E_tot = -48.517 eV/atom
1.0
3.721 0.000 0.000
0.000 5.368 0.000
0.000 0.000 5.368
Tl Y Br
2 1 1
Direct
0.000 0.000 0.500 Tl
0.000 0.500 0.000 Tl
0.500 0.500 0.500 Y
0.500 0.000 0.000 Br


YTl2Br, single point on PBEsol structure, DFT SCAN; E_form (uncorrected) = -633.4 meV per atom; E_tot = -48.638 eV/atom
1.0
3.482 0.000 0.000
0.000 5.622 0.000
-1.741 -2.811 5.590
Y Tl Br
1 2 1
Direct
0.480 0.480 0.960 Y
0.004 0.004 0.007 Tl
0.235 0.735 0.469 Tl
0.782 0.282 0.564 Br


TlZnBr2, single point on PBEsol structure, DFT SCAN; E_form (uncorrected) = -324.3 meV per atom; E_tot = -31.522 eV/atom
1.0
-2.485 2.784 0.169
-2.102 -1.348 -4.621
-3.507 -3.031 2.472
Zn Br Tl
1 2 1
Direct
0.500 0.500 0.500 Zn
0.000 0.500 0.000 Br
0.000 0.000 0.500 Br
0.500 0.000 0.000 Tl


Tl2ZnBr, single point on PBEsol structure, DFT SCAN; E_form (uncorrected) = -108.3 meV per atom; E_tot = -44.531 eV/atom
1.0
-1.994 0.564 4.270
-3.769 -2.505 -1.429
4.961 -3.013 0.077
Zn Tl Br
1 2 1
Direct
0.500 0.500 0.000 Zn
0.250 0.750 0.500 Tl
0.750 0.250 0.500 Tl
0.000 0.000 0.000 Br